Computed, not measured: crystalline Rb2Te at its relaxed geometry at the GGA-PBE level of DFT.

Properties
M_tot: 0.0 μB/f.u.
energy relative to the lowest polymorph listed for this composition: 18 meV per atom
E: -2.678 eV per atom

Structure (POSCAR):
```
Rb2Te
1.0
9.163 0.000 0.000
0.000 5.593 0.000
0.000 0.000 11.113
Rb Te
8 4
direct
0.028 0.250 0.173
0.148 0.250 0.571
0.352 0.750 0.071
0.472 0.750 0.673
0.528 0.250 0.327
0.648 0.250 0.929
0.852 0.750 0.429
0.972 0.750 0.827
0.248 0.250 0.884
0.252 0.750 0.384
0.748 0.250 0.616
0.752 0.750 0.116
```